The following is a DFT calculation (PBE) of an optimized crystal structure of KGePdF6.

```
KGePdF6
1.0
5.879 0.008 -0.068
2.944 5.071 -0.034
-0.063 -0.002 5.229
F Pd Ge K
6 1 1 1
Direct
0.105 0.344 0.252
0.304 0.081 0.674
0.354 0.601 0.328
0.550 0.344 0.749
0.616 0.083 0.325
0.044 0.600 0.672
0.684 0.630 0.500
0.335 0.330 0.500
0.006 0.988 0.999
```

Computed properties:
Electronic total energy   -4.589 eV per atom
ρ   3.5 g/cm³
Uncorrected formation energy   -2129 meV/atom
DOS at the Fermi energy   0.61 states/eV per cell